The following is a DFT calculation (PBE) of a geometry-optimized NiHg2W structure.

a = 4.6438 Å, b = 4.6438 Å, c = 5.6584 Å
α = 97.07°, β = 97.07°, γ = 36.24°
Fractional coordinates of all 4 atoms:
Ni: 0.0000 0.0000 0.0000
Hg: 0.5095 0.5095 0.5687
Hg: 0.7492 0.7492 0.2777
W: 0.2618 0.2618 0.8361

Summary:
Theoretical density = 14.945 g/cm3
Relative energy among the computed polymorphs = 1.12 eV/f.u.
DOS at the Fermi energy = 2.3 states/eV/cell
ΔE_f = 0.6444 eV per atom